Below is crystalline Li2La3Tl4 at its relaxed geometry, with properties calculated at the PBE level.

## Properties
The formation energy comes out at -28.0 kJ per mole of atoms. The calculation puts the offset from the most stable computed form at 0.68 eV per formula unit. The density of states at the Fermi level comes out at 11.03 states/eV/cell. Its symmetry is No. 15.

abc: 8.582 7.846 7.846
angles: 90.13 80.74 80.74
Atoms (fractional coordinates):
Li (0.401, 0.299, 0.527)
Li (0.099, 0.473, 0.701)
Li (0.599, 0.701, 0.473)
Li (0.901, 0.527, 0.299)
La (0.854, 0.014, 0.279)
La (0.646, 0.721, 0.986)
La (0.146, 0.986, 0.721)
La (0.354, 0.279, 0.014)
La (0.250, 0.674, 0.326)
La (0.750, 0.326, 0.674)
Tl (0.457, 0.001, 0.307)
Tl (0.043, 0.693, 0.999)
Tl (0.543, 0.999, 0.693)
Tl (0.957, 0.307, 0.001)
Tl (0.112, 0.253, 0.397)
Tl (0.388, 0.603, 0.747)
Tl (0.888, 0.747, 0.603)
Tl (0.612, 0.397, 0.253)